Record 1
# LaGeWS2, PBEsol geometry, DFT meta-GGA SCAN
# Calculated density   7.1 g/cm3
# E_form (uncorrected)   340 meV per atom
# Crystal system   tetragonal
data_LaGeWS2
_space_group_name_H-M_alt 'P 4/m m m'
_space_group_IT_number 123
_space_group_name_Hall '-P 4 2'
_cell_length_a 4.779
_cell_length_b 4.779
_cell_length_c 4.726
_cell_angle_alpha 90.00
_cell_angle_beta 90.00
_cell_angle_gamma 90.00
loop_
_atom_site_label
_atom_site_type_symbol
_atom_site_fract_x
_atom_site_fract_y
_atom_site_fract_z
_atom_site_occupancy
La1 La 0.000 0.000 0.000 1
Ge1 Ge 0.500 0.500 0.500 1
W1 W 0.500 0.500 0.000 1
S1 S 0.000 0.500 0.500 1



Record 2
# InPb2, PBEsol geometry, DFT meta-GGA SCAN
# Calculated density   10.3 g/cm3
# DFT formation energy   0.039 eV per atom
# Crystal system   orthorhombic
data_InPb2
_space_group_name_H-M_alt 'I m m m'
_space_group_IT_number 71
_space_group_name_Hall '-I 2 2'
_cell_length_a 3.393
_cell_length_b 4.898
_cell_length_c 10.254
_cell_angle_alpha 90.00
_cell_angle_beta 90.00
_cell_angle_gamma 90.00
loop_
_atom_site_label
_atom_site_type_symbol
_atom_site_fract_x
_atom_site_fract_y
_atom_site_fract_z
_atom_site_occupancy
In1 In 0.000 0.000 0.000 1
Pb1 Pb 0.000 0.000 0.333 1



Record 3
# ScTa2Te, PBEsol geometry, DFT meta-GGA SCAN
# Calculated density   11.0 g/cm3
# Offset from the most stable computed form   0.000 eV per atom
# E_form (uncorrected)   304 meV per atom
# Crystal system   trigonal
data_ScTa2Te
_space_group_name_H-M_alt 'R -3 m'
_space_group_IT_number 166
_space_group_name_Hall '-R 3 2"'
_cell_length_a 3.2080
_cell_length_b 3.2080
_cell_length_c 27.2138
_cell_angle_alpha 90.00
_cell_angle_beta 90.00
_cell_angle_gamma 120.00
loop_
_atom_site_label
_atom_site_type_symbol
_atom_site_fract_x
_atom_site_fract_y
_atom_site_fract_z
_atom_site_occupancy
Sc1 Sc 0.0000 0.0000 0.0000 1
Ta1 Ta 0.0000 0.0000 0.2447 1
Te1 Te 0.0000 0.0000 0.5000 1



Record 4
# TiPF2, PBEsol geometry, DFT meta-GGA SCAN
# Calculated density   4.1 g/cm3
# Offset from the most stable computed form   0.126 eV per atom
# E_form (uncorrected)   -1676 meV per atom
# Crystal system   tetragonal
data_TiPF2
_space_group_name_H-M_alt 'I -4 2 d'
_space_group_IT_number 122
_space_group_name_Hall 'I -4 2bw'
_cell_length_a 3.581
_cell_length_b 3.581
_cell_length_c 14.817
_cell_angle_alpha 90.00
_cell_angle_beta 90.00
_cell_angle_gamma 90.00
loop_
_atom_site_label
_atom_site_type_symbol
_atom_site_fract_x
_atom_site_fract_y
_atom_site_fract_z
_atom_site_occupancy
Ti1 Ti 0.000 0.000 0.000 1
P1 P 0.000 0.000 0.500 1
F1 F 0.215 0.250 0.125 1



Record 5
# NaLi2BO3, PBEsol geometry, DFT meta-GGA SCAN
# Calculated density   2.3 g/cm3
# E_form (uncorrected)   -2375 meV per atom
# Crystal system   monoclinic
data_NaLi2BO3
_space_group_name_H-M_alt 'P 1 21/c 1'
_space_group_IT_number 14
_space_group_name_Hall '-P 2ybc'
_cell_length_a 4.913
_cell_length_b 12.019
_cell_length_c 9.540
_cell_angle_alpha 90.00
_cell_angle_beta 105.76
_cell_angle_gamma 90.00
loop_
_atom_site_label
_atom_site_type_symbol
_atom_site_fract_x
_atom_site_fract_y
_atom_site_fract_z
_atom_site_occupancy
Na1 Na 0.029 0.196 0.323 1
Na2 Na 0.350 0.620 0.611 1
Li1 Li 0.186 0.148 0.059 1
Li2 Li 0.224 0.153 0.644 1
Li3 Li 0.241 0.504 0.979 1
Li4 Li 0.476 0.602 0.202 1
B1 B 0.045 0.023 0.780 1
B2 B 0.361 0.711 0.922 1
O1 O 0.106 0.741 0.947 1
O2 O 0.138 0.508 0.159 1
O3 O 0.166 0.115 0.859 1
O4 O 0.177 0.035 0.192 1
O5 O 0.467 0.735 0.319 1
O6 O 0.476 0.126 0.497 1



Record 6
# KTiTe2N, PBEsol geometry, DFT meta-GGA SCAN
# Calculated density   4.8 g/cm3
# E_form (uncorrected)   -492 meV per atom
# Crystal system   tetragonal
data_KTiTe2N
_space_group_name_H-M_alt 'P 4/m m m'
_space_group_IT_number 123
_space_group_name_Hall '-P 4 2'
_cell_length_a 5.759
_cell_length_b 5.759
_cell_length_c 3.722
_cell_angle_alpha 90.00
_cell_angle_beta 90.00
_cell_angle_gamma 90.00
loop_
_atom_site_label
_atom_site_type_symbol
_atom_site_fract_x
_atom_site_fract_y
_atom_site_fract_z
_atom_site_occupancy
K1 K 0.000 0.000 0.000 1
Ti1 Ti 0.500 0.500 0.500 1
Te1 Te 0.000 0.500 0.500 1
N1 N 0.500 0.500 0.000 1



Record 7
# Li2RhF, PBEsol geometry, DFT meta-GGA SCAN
# Calculated density   4.6 g/cm3
# E_form (uncorrected)   -349 meV per atom
# Crystal system   cubic
data_Li2RhF
_space_group_name_H-M_alt 'F m -3 m'
_space_group_IT_number 225
_space_group_name_Hall '-F 4 2 3'
_cell_length_a 5.807
_cell_length_b 5.807
_cell_length_c 5.807
_cell_angle_alpha 90.00
_cell_angle_beta 90.00
_cell_angle_gamma 90.00
loop_
_atom_site_label
_atom_site_type_symbol
_atom_site_fract_x
_atom_site_fract_y
_atom_site_fract_z
_atom_site_occupancy
Li1 Li 0.250 0.250 0.250 1
Rh1 Rh 0.000 0.000 0.000 1
F1 F 0.000 0.000 0.500 1



Record 8
# As2Au, PBEsol geometry, DFT meta-GGA SCAN
# Calculated density   10.4 g/cm3
# DFT formation energy   0.349 eV per atom
# Crystal system   trigonal
data_As2Au
_space_group_name_H-M_alt 'P -3 m 1'
_space_group_IT_number 164
_space_group_name_Hall '-P 3 2"'
_cell_length_a 2.9385
_cell_length_b 2.9385
_cell_length_c 7.3801
_cell_angle_alpha 90.00
_cell_angle_beta 90.00
_cell_angle_gamma 120.00
loop_
_atom_site_label
_atom_site_type_symbol
_atom_site_fract_x
_atom_site_fract_y
_atom_site_fract_z
_atom_site_occupancy
As1 As 0.3333 0.6667 0.3075 1
Au1 Au 0.0000 0.0000 0.0000 1



Record 9
# Ba2PtCl, PBEsol geometry, DFT meta-GGA SCAN
# Calculated density   6.6 g/cm3
# Offset from the most stable computed form   0.057 eV per atom
# E_form (uncorrected)   -1504 meV per atom
# Crystal system   tetragonal
data_Ba2PtCl
_space_group_name_H-M_alt 'P 4/m m m'
_space_group_IT_number 123
_space_group_name_Hall '-P 4 2'
_cell_length_a 4.505
_cell_length_b 4.505
_cell_length_c 6.289
_cell_angle_alpha 90.00
_cell_angle_beta 90.00
_cell_angle_gamma 90.00
loop_
_atom_site_label
_atom_site_type_symbol
_atom_site_fract_x
_atom_site_fract_y
_atom_site_fract_z
_atom_site_occupancy
Ba1 Ba 0.000 0.000 0.000 1
Ba2 Ba 0.500 0.500 0.500 1
Pt1 Pt 0.000 0.000 0.500 1
Cl1 Cl 0.500 0.500 0.000 1



Record 10
# TlPbCl3, PBEsol geometry, DFT meta-GGA SCAN
# Calculated density   5.0 g/cm3
# E_form (uncorrected)   -1076 meV per atom
# Crystal system   cubic
data_TlPbCl3
_space_group_name_H-M_alt 'P m -3 m'
_space_group_IT_number 221
_space_group_name_Hall '-P 4 2 3'
_cell_length_a 5.546
_cell_length_b 5.546
_cell_length_c 5.546
_cell_angle_alpha 90.00
_cell_angle_beta 90.00
_cell_angle_gamma 90.00
loop_
_atom_site_label
_atom_site_type_symbol
_atom_site_fract_x
_atom_site_fract_y
_atom_site_fract_z
_atom_site_occupancy
Tl1 Tl 0.000 0.000 0.000 1
Pb1 Pb 0.500 0.500 0.500 1
Cl1 Cl 0.000 0.500 0.500 1



Record 11
# Si2PtI, PBEsol geometry, DFT meta-GGA SCAN
# Calculated density   6.0 g/cm3
# E_form (uncorrected)   51 meV per atom
# Crystal system   tetragonal
data_Si2PtI
_space_group_name_H-M_alt 'I -4 2 d'
_space_group_IT_number 122
_space_group_name_Hall 'I -4 2bw'
_cell_length_a 5.866
_cell_length_b 5.866
_cell_length_c 12.149
_cell_angle_alpha 90.00
_cell_angle_beta 90.00
_cell_angle_gamma 90.00
loop_
_atom_site_label
_atom_site_type_symbol
_atom_site_fract_x
_atom_site_fract_y
_atom_site_fract_z
_atom_site_occupancy
Si1 Si 0.145 0.250 0.125 1
Pt1 Pt 0.000 0.000 0.000 1
I1 I 0.000 0.000 0.500 1



Record 12
# GeTe2Os2, PBEsol geometry, DFT meta-GGA SCAN
# Calculated density   10.9 g/cm3
# E_form (uncorrected)   736 meV per atom
# Crystal system   tetragonal
data_GeTe2Os2
_space_group_name_H-M_alt 'I 4/m m m'
_space_group_IT_number 139
_space_group_name_Hall '-I 4 2'
_cell_length_a 4.058
_cell_length_b 4.058
_cell_length_c 13.153
_cell_angle_alpha 90.00
_cell_angle_beta 90.00
_cell_angle_gamma 90.00
loop_
_atom_site_label
_atom_site_type_symbol
_atom_site_fract_x
_atom_site_fract_y
_atom_site_fract_z
_atom_site_occupancy
Ge1 Ge 0.000 0.000 0.000 1
Te1 Te 0.000 0.000 0.374 1
Os1 Os 0.000 0.500 0.250 1



Record 13
# TmMg5, PBEsol geometry, DFT meta-GGA SCAN
# Calculated density   3.4 g/cm3
# DFT formation energy   0.006 eV per atom
# Crystal system   monoclinic
data_TmMg5
_space_group_name_H-M_alt 'C 1 2/m 1'
_space_group_IT_number 12
_space_group_name_Hall '-C 2y'
_cell_length_a 11.843
_cell_length_b 3.595
_cell_length_c 7.002
_cell_angle_alpha 90.00
_cell_angle_beta 107.58
_cell_angle_gamma 90.00
loop_
_atom_site_label
_atom_site_type_symbol
_atom_site_fract_x
_atom_site_fract_y
_atom_site_fract_z
_atom_site_occupancy
Tm1 Tm 0.000 0.000 0.000 1
Mg1 Mg 0.000 0.000 0.500 1
Mg2 Mg 0.171 0.500 0.343 1
Mg3 Mg 0.175 0.500 0.830 1



Record 14
# Mg2InSb, PBEsol geometry, DFT meta-GGA SCAN
# Calculated density   4.8 g/cm3
# Offset from the most stable computed form   0.055 eV per atom
# E_form (uncorrected)   -130 meV per atom
# Crystal system   orthorhombic
data_Mg2InSb
_space_group_name_H-M_alt 'I m m 2'
_space_group_IT_number 44
_space_group_name_Hall 'I 2 -2'
_cell_length_a 3.436
_cell_length_b 4.678
_cell_length_c 12.343
_cell_angle_alpha 90.00
_cell_angle_beta 90.00
_cell_angle_gamma 90.00
loop_
_atom_site_label
_atom_site_type_symbol
_atom_site_fract_x
_atom_site_fract_y
_atom_site_fract_z
_atom_site_occupancy
Mg1 Mg 0.000 0.000 0.000 1
Mg2 Mg 0.000 0.500 0.264 1
In1 In 0.000 0.000 0.437 1
Sb1 Sb 0.000 0.500 0.698 1



Record 15
# BeAg2As, PBEsol geometry, DFT meta-GGA SCAN
# Calculated density   7.8 g/cm3
# DFT formation energy   0.181 eV per atom
# Offset from the most stable computed form   0.000 eV per atom
# Crystal system   orthorhombic
data_BeAg2As
_space_group_name_H-M_alt 'I m m 2'
_space_group_IT_number 44
_space_group_name_Hall 'I 2 -2'
_cell_length_a 2.764
_cell_length_b 4.093
_cell_length_c 11.228
_cell_angle_alpha 90.00
_cell_angle_beta 90.00
_cell_angle_gamma 90.00
loop_
_atom_site_label
_atom_site_type_symbol
_atom_site_fract_x
_atom_site_fract_y
_atom_site_fract_z
_atom_site_occupancy
Be1 Be 0.000 0.000 0.000 1
Ag1 Ag 0.000 0.000 0.520 1
Ag2 Ag 0.000 0.500 0.692 1
As1 As 0.000 0.500 0.325 1



Record 16
# Y2BeAgAs, PBEsol geometry, DFT meta-GGA SCAN
# Calculated density   5.2 g/cm3
# DFT formation energy   -0.245 eV per atom
# Crystal system   tetragonal
data_Y2BeAgAs
_space_group_name_H-M_alt 'P 4/m m m'
_space_group_IT_number 123
_space_group_name_Hall '-P 4 2'
_cell_length_a 5.387
_cell_length_b 5.387
_cell_length_c 4.029
_cell_angle_alpha 90.00
_cell_angle_beta 90.00
_cell_angle_gamma 90.00
loop_
_atom_site_label
_atom_site_type_symbol
_atom_site_fract_x
_atom_site_fract_y
_atom_site_fract_z
_atom_site_occupancy
Y1 Y 0.000 0.500 0.000 1
Be1 Be 0.000 0.000 0.500 1
Ag1 Ag 0.500 0.500 0.500 1
As1 As 0.000 0.000 0.000 1



Record 17
# InINO2, PBEsol geometry, DFT meta-GGA SCAN
# Calculated density   6.9 g/cm3
# E_form (uncorrected)   1058 meV per atom
# Crystal system   tetragonal
data_InINO2
_space_group_name_H-M_alt 'P 4/m m m'
_space_group_IT_number 123
_space_group_name_Hall '-P 4 2'
_cell_length_a 4.110
_cell_length_b 4.110
_cell_length_c 4.096
_cell_angle_alpha 90.00
_cell_angle_beta 90.00
_cell_angle_gamma 90.00
loop_
_atom_site_label
_atom_site_type_symbol
_atom_site_fract_x
_atom_site_fract_y
_atom_site_fract_z
_atom_site_occupancy
In1 In 0.000 0.000 0.000 1
I1 I 0.500 0.500 0.000 1
N1 N 0.500 0.500 0.500 1
O1 O 0.000 0.500 0.500 1



Record 18
# CuPW3, PBEsol geometry, DFT meta-GGA SCAN
# Calculated density   12.7 g/cm3
# DFT formation energy   1.309 eV per atom
# Crystal system   cubic
data_CuPW3
_space_group_name_H-M_alt 'P m -3 m'
_space_group_IT_number 221
_space_group_name_Hall '-P 4 2 3'
_cell_length_a 4.387
_cell_length_b 4.387
_cell_length_c 4.387
_cell_angle_alpha 90.00
_cell_angle_beta 90.00
_cell_angle_gamma 90.00
loop_
_atom_site_label
_atom_site_type_symbol
_atom_site_fract_x
_atom_site_fract_y
_atom_site_fract_z
_atom_site_occupancy
Cu1 Cu 0.000 0.000 0.000 1
P1 P 0.500 0.500 0.500 1
W1 W 0.000 0.500 0.500 1



Record 19
# ReW2Au, PBEsol geometry, DFT meta-GGA SCAN
# Calculated density   19.9 g/cm3
# DFT formation energy   0.245 eV per atom
# Offset from the most stable computed form   0.000 eV per atom
# Crystal system   orthorhombic
data_ReW2Au
_space_group_name_H-M_alt 'P m m m'
_space_group_IT_number 47
_space_group_name_Hall '-P 2 2'
_cell_length_a 2.824
_cell_length_b 3.967
_cell_length_c 5.587
_cell_angle_alpha 90.00
_cell_angle_beta 90.00
_cell_angle_gamma 90.00
loop_
_atom_site_label
_atom_site_type_symbol
_atom_site_fract_x
_atom_site_fract_y
_atom_site_fract_z
_atom_site_occupancy
Re1 Re 0.000 0.000 0.000 1
W1 W 0.500 0.500 0.231 1
Au1 Au 0.000 0.000 0.500 1



Record 20
# CaTcRh, PBEsol geometry, DFT meta-GGA SCAN
# Calculated density   6.7 g/cm3
# DFT formation energy   1.350 eV per atom
# Crystal system   cubic
data_CaTcRh
_space_group_name_H-M_alt 'F -4 3 m'
_space_group_IT_number 216
_space_group_name_Hall 'F -4 2 3'
_cell_length_a 6.203
_cell_length_b 6.203
_cell_length_c 6.203
_cell_angle_alpha 90.00
_cell_angle_beta 90.00
_cell_angle_gamma 90.00
loop_
_atom_site_label
_atom_site_type_symbol
_atom_site_fract_x
_atom_site_fract_y
_atom_site_fract_z
_atom_site_occupancy
Ca1 Ca 0.000 0.000 0.000 1
Tc1 Tc 0.250 0.250 0.250 1
Rh1 Rh 0.250 0.250 0.750 1